No. 1
An optimized crystal structure of InReAsSe2. Source: the Alexandria database, functional PBE.

a = 5.038 Å, b = 5.038 Å, c = 4.806 Å
α = 90.00°, β = 90.00°, γ = 90.00°
Space group P4/mmm (No. 123)
Unique sites:
In: 0.000 0.000 0.000 (multiplicity 1)
Re: 0.500 0.500 0.500 (multiplicity 1)
As: 0.500 0.500 0.000 (multiplicity 1)
Se: 0.000 0.500 0.500 (multiplicity 2)

- Raw total energy: -5.00 eV per atom
- Fermi-level density of states: 5.00 states/eV per cell
- Energy relative to the elements, uncorrected: 0.361 eV per atom
- E above lowest polymorph: 0.0000 eV/atom

---

No. 2
An optimized crystal structure of ErPaZnSn. Source: the Alexandria database, functional PBE.

a = 7.317 Å, b = 7.317 Å, c = 7.317 Å
α = 90.00°, β = 90.00°, γ = 90.00°
Space group F-43m (No. 216)
Unique sites:
Er: 0.000 0.000 0.000 (multiplicity 4)
Pa: 0.000 0.000 0.500 (multiplicity 4)
Zn: 0.250 0.250 0.750 (multiplicity 4)
Sn: 0.250 0.250 0.250 (multiplicity 4)

- ΔH_f (0 K): -0.15 eV/atom
- Raw total energy: -4.98 eV per atom
- Fermi-level density of states: 33.34 states/eV per cell

---

No. 3
An optimized crystal structure of Mg2AlFe. Source: the Alexandria database, functional PBE.

a = 3.050 Å, b = 4.681 Å, c = 9.423 Å
α = 90.00°, β = 90.00°, γ = 90.00°
Space group Imm2 (No. 44)
Unique sites:
Mg: 0.000 0.000 0.000 (multiplicity 2)
Mg: 0.000 0.500 0.215 (multiplicity 2)
Al: 0.000 0.500 0.775 (multiplicity 2)
Fe: 0.000 0.000 0.479 (multiplicity 2)

- ΔH_f (0 K): 0.08 eV/atom
- Raw total energy: -3.76 eV per atom
- Fermi-level density of states: 5.80 states/eV per cell

---

No. 4
An optimized crystal structure of RhClF. Source: the Alexandria database, functional PBE.

a = 11.290 Å, b = 3.525 Å, c = 5.910 Å
α = 90.00°, β = 111.42°, γ = 90.00°
Space group C2/m (No. 12)
Unique sites:
Rh: 0.246 0.000 0.254 (multiplicity 4)
Cl: 0.125 0.500 0.319 (multiplicity 4)
F: 0.162 0.000 0.851 (multiplicity 4)

- Raw total energy: -4.34 eV per atom
- Fermi-level density of states: 8.45 states/eV per cell
- Energy relative to the elements, uncorrected: -0.648 eV per atom

---

No. 5
An optimized crystal structure of Zn4CuTe. Source: the Alexandria database, functional PBE.

a = 7.481 Å, b = 7.481 Å, c = 7.481 Å
α = 90.00°, β = 90.00°, γ = 90.00°
Space group F-43m (No. 216)
Unique sites:
Zn: 0.124 0.124 0.124 (multiplicity 16)
Cu: 0.250 0.250 0.750 (multiplicity 4)
Te: 0.000 0.000 0.500 (multiplicity 4)

- Raw total energy: -1.80 eV per atom
- Fermi-level density of states: 6.10 states/eV per cell
- Energy relative to the elements, uncorrected: 0.260 eV per atom

---

No. 6
An optimized crystal structure of ReP2WBr. Source: the Alexandria database, functional PBE.

a = 4.588 Å, b = 4.588 Å, c = 4.719 Å
α = 90.00°, β = 90.00°, γ = 90.00°
Space group P4/mmm (No. 123)
Unique sites:
Re: 0.000 0.000 0.000 (multiplicity 1)
P: 0.000 0.500 0.500 (multiplicity 2)
W: 0.500 0.500 0.000 (multiplicity 1)
Br: 0.500 0.500 0.500 (multiplicity 1)

- Raw total energy: -4.99 eV per atom
- Fermi-level density of states: 4.86 states/eV per cell
- Energy relative to the elements, uncorrected: 2.593 eV per atom

---

No. 7
An optimized crystal structure of Cs3Ca2H7. Source: the Alexandria database, functional PBE.

a = 4.624 Å, b = 25.056 Å, c = 4.506 Å
α = 90.00°, β = 90.00°, γ = 90.00°
Space group Cmmm (No. 65)
Unique sites:
Cs: 0.000 0.000 0.000 (multiplicity 2)
Cs: 0.000 0.184 0.000 (multiplicity 4)
Ca: 0.000 0.407 0.500 (multiplicity 4)
H: 0.000 0.093 0.500 (multiplicity 4)
H: 0.000 0.316 0.500 (multiplicity 4)
H: 0.000 0.407 0.000 (multiplicity 4)
H: 0.000 0.500 0.500 (multiplicity 2)

- Raw total energy: -2.86 eV per atom
- Fermi-level density of states: 0.00 states/eV per cell
- E above lowest polymorph: 0.0175 eV/atom

---

No. 8
An optimized crystal structure of Ho5TmPd6. Source: the Alexandria database, functional PBE.

a = 4.990 Å, b = 14.909 Å, c = 6.840 Å
α = 90.00°, β = 90.00°, γ = 90.00°
Space group Cmmm (No. 65)
Unique sites:
Ho: 0.000 0.000 0.000 (multiplicity 2)
Ho: 0.000 0.333 0.000 (multiplicity 4)
Ho: 0.000 0.334 0.500 (multiplicity 4)
Tm: 0.000 0.000 0.500 (multiplicity 2)
Pd: 0.000 0.165 0.251 (multiplicity 8)
Pd: 0.000 0.500 0.252 (multiplicity 4)

- ΔH_f (0 K): -0.91 eV/atom
- Raw total energy: -5.78 eV per atom
- Fermi-level density of states: 15.10 states/eV per cell

---

No. 9
An optimized crystal structure of ZrInSe2. Source: the Alexandria database, functional PBE.

a = 9.483 Å, b = 9.981 Å, c = 19.275 Å
α = 90.00°, β = 104.19°, γ = 90.00°
Space group C2/c (No. 15)
Unique sites:
Zr: 0.040 0.125 0.331 (multiplicity 8)
Zr: 0.216 0.375 0.183 (multiplicity 8)
In: 0.047 0.253 0.591 (multiplicity 8)
In: 0.204 0.496 0.909 (multiplicity 8)
Se: 0.000 0.106 0.750 (multiplicity 4)
Se: 0.000 0.355 0.250 (multiplicity 4)
Se: 0.081 0.222 0.069 (multiplicity 8)
Se: 0.238 0.473 0.569 (multiplicity 8)
Se: 0.245 0.375 0.750 (multiplicity 8)

- Raw total energy: -5.40 eV per atom
- Fermi-level density of states: 20.06 states/eV per cell
- Energy relative to the elements, uncorrected: -0.833 eV per atom

---

No. 10
An optimized crystal structure of KCr2Si. Source: the Alexandria database, functional PBE.

a = 4.785 Å, b = 4.785 Å, c = 6.697 Å
α = 90.00°, β = 90.00°, γ = 90.00°
Space group I-4m2 (No. 119)
Unique sites:
K: 0.000 0.000 0.000 (multiplicity 2)
Cr: 0.000 0.000 0.500 (multiplicity 2)
Cr: 0.000 0.500 0.250 (multiplicity 2)
Si: 0.000 0.500 0.750 (multiplicity 2)

- Raw total energy: -5.47 eV per atom
- Fermi-level density of states: 5.85 states/eV per cell
- Energy relative to the elements, uncorrected: 0.967 eV per atom

---

No. 11
An optimized crystal structure of Ce2BeIr3. Source: the Alexandria database, functional PBE.

a = 5.5682 Å, b = 5.5682 Å, c = 7.7342 Å
α = 90.00°, β = 90.00°, γ = 120.00°
Space group P6_3/mmc (No. 194)
Unique sites:
Ce: 0.3333 0.6667 0.0638 (multiplicity 4)
Be: 0.0000 0.0000 0.0000 (multiplicity 2)
Ir: 0.1633 0.3267 0.7500 (multiplicity 6)

- ΔH_f (0 K): -0.74 eV/atom
- Raw total energy: -7.76 eV per atom
- Fermi-level density of states: 11.68 states/eV per cell
- E above lowest polymorph: 0.0216 eV/atom

---

No. 12
An optimized crystal structure of MgSb2P6. Source: the Alexandria database, functional PBE.

a = 5.807 Å, b = 5.807 Å, c = 17.182 Å
α = 90.00°, β = 90.00°, γ = 90.00°
Space group P4_2/mnm (No. 136)
Unique sites:
Mg: 0.000 0.000 0.000 (multiplicity 2)
Sb: 0.000 0.000 0.392 (multiplicity 4)
P: 0.120 0.120 0.156 (multiplicity 8)
P: 0.202 0.202 0.500 (multiplicity 4)

- Raw total energy: -4.17 eV per atom
- Fermi-level density of states: 8.34 states/eV per cell
- Energy relative to the elements, uncorrected: 0.528 eV per atom

---

Question: Look up the Fermi-level density of states of the sixth one.
Answer: 4.86 states/eV per cell